This record from Alexandria via LeMat-Bulk describes a crystal of ZnRe2Sb relaxed with PBEsol. The functional is SCAN.

The space group is P2/m (No. 10) and the conventional cell measures 3.4080, 4.5186 and 4.8248 Å, with angles of 90.00, 97.48 and 90.00 degrees. The distinct sites, in fractional coordinates, are Zn at (0.0000, 0.0000, 0.0000), Re at (0.3121, 0.5000, 0.1820) and Sb at (0.5000, 0.0000, 0.5000).

For the formation energy without anion corrections, the calculation gives 0.583 eV per atom. Its energy relative to the lowest polymorph listed for this composition is 0.00 eV/f.u. The value obtained for the total energy is -47.66 eV/atom.

***

This record from Alexandria via LeMat-Bulk describes a crystal of ZnReSb2 relaxed with PBEsol. The functional is SCAN.

The space group is P4/mmm (No. 123) and the conventional cell measures 3.2037, 3.2037 and 7.7926 Å, with angles of 90.00, 90.00 and 90.00 degrees. The distinct sites, in fractional coordinates, are Zn at (0.0000, 0.0000, 0.0000), Re at (0.0000, 0.0000, 0.5000) and Sb at (0.5000, 0.5000, 0.2871).

For the formation energy without anion corrections, the calculation gives 0.407 eV per atom. The value obtained for the total energy is -39.38 eV/atom.

***

This record from Alexandria via LeMat-Bulk describes a crystal of ZnReSb2 relaxed with PBEsol. The functional is SCAN.

The space group is Imm2 (No. 44) and the conventional cell measures 3.2852, 3.4672 and 14.5544 Å, with angles of 90.00, 90.00 and 90.00 degrees. The distinct sites, in fractional coordinates, are Zn at (0.0000, 0.0000, 0.0000), Re at (0.0000, 0.5000, 0.7423), Sb at (0.0000, 0.0000, 0.3868) and Sb at (0.0000, 0.5000, 0.1533).

For the formation energy without anion corrections, the calculation gives 0.484 eV per atom. The value obtained for the total energy is -39.30 eV/atom.

***

This record from Alexandria via LeMat-Bulk describes a crystal of ZnReSb2 relaxed with PBEsol. The functional is SCAN.

The space group is Cmmm (No. 65) and the conventional cell measures 3.2289, 5.2107 and 9.8487 Å, with angles of 90.00, 90.00 and 90.00 degrees. The distinct sites, in fractional coordinates, are Zn at (0.0000, 0.0000, 0.0000), Re at (0.0000, 0.0000, 0.5000) and Sb at (0.0000, 0.5000, 0.2783).

For the formation energy without anion corrections, the calculation gives 0.716 eV per atom. The value obtained for the total energy is -39.07 eV/atom.

***

This record from Alexandria via LeMat-Bulk describes a crystal of ZnReSb2 relaxed with PBEsol. The functional is SCAN.

The space group is Amm2 (No. 38) and the conventional cell measures 4.4770, 3.4747 and 9.6738 Å, with angles of 90.00, 90.00 and 90.00 degrees. The distinct sites, in fractional coordinates, are Zn at (0.0000, 0.0000, 0.0000), Re at (0.5000, 0.0000, 0.8485), Sb at (0.0000, 0.0000, 0.2718) and Sb at (0.5000, 0.0000, 0.5648).

For the formation energy without anion corrections, the calculation gives 0.372 eV per atom. The value obtained for the total energy is -39.41 eV/atom.

***

This record from Alexandria via LeMat-Bulk describes a crystal of Zn2ReSb relaxed with PBEsol. The functional is SCAN.

The space group is F-43m (No. 216) and the conventional cell measures 6.3903, 6.3903 and 6.3903 Å, with angles of 90.00, 90.00 and 90.00 degrees. The distinct sites, in fractional coordinates, are Zn at (0.0000, 0.0000, 0.0000), Zn at (0.2500, 0.2500, 0.2500), Re at (0.2500, 0.2500, 0.7500) and Sb at (0.0000, 0.0000, 0.5000).

For the formation energy without anion corrections, the calculation gives 0.682 eV per atom. The value obtained for the total energy is -33.16 eV/atom.

***

This record from Alexandria via LeMat-Bulk describes a crystal of ZnReSb2 relaxed with PBEsol. The functional is SCAN.

The space group is I-4m2 (No. 119) and the conventional cell measures 4.0991, 4.0991 and 8.9361 Å, with angles of 90.00, 90.00 and 90.00 degrees. The distinct sites, in fractional coordinates, are Zn at (0.0000, 0.0000, 0.0000), Re at (0.0000, 0.5000, 0.2500), Sb at (0.0000, 0.0000, 0.5000) and Sb at (0.0000, 0.5000, 0.7500).

For the formation energy without anion corrections, the calculation gives 0.854 eV per atom. The value obtained for the total energy is -38.93 eV/atom.

***

This record from Alexandria via LeMat-Bulk describes a crystal of Zr2ReSb relaxed with PBEsol. The functional is SCAN.

The space group is Amm2 (No. 38) and the conventional cell measures 4.4076, 3.4662 and 10.4940 Å, with angles of 90.00, 90.00 and 90.00 degrees. The distinct sites, in fractional coordinates, are Zr at (0.0000, 0.0000, 0.0000), Zr at (0.5000, 0.0000, 0.2974), Re at (0.5000, 0.0000, 0.5497) and Sb at (0.0000, 0.0000, 0.7229).

For the formation energy without anion corrections, the calculation gives -0.447 eV per atom. The value obtained for the total energy is -42.89 eV/atom.

***

This record from Alexandria via LeMat-Bulk describes a crystal of ZrReSb2 relaxed with PBEsol. The functional is SCAN.

The space group is P4mm (No. 99) and the conventional cell measures 3.2627, 3.2627 and 8.2404 Å, with angles of 90.00, 90.00 and 90.00 degrees. The distinct sites, in fractional coordinates, are Zr at (0.0000, 0.0000, 0.0000), Re at (0.5000, 0.5000, 0.1945), Sb at (0.0000, 0.0000, 0.3848) and Sb at (0.5000, 0.5000, 0.7454).

For the formation energy without anion corrections, the calculation gives -0.133 eV per atom. Its energy relative to the lowest polymorph listed for this composition is 0.00 eV/f.u. The value obtained for the total energy is -44.21 eV/atom.

***

This record from Alexandria via LeMat-Bulk describes a crystal of Zr2ReSb relaxed with PBEsol. The functional is SCAN.

The space group is Immm (No. 71) and the conventional cell measures 3.9945, 4.6232 and 8.3346 Å, with angles of 90.00, 90.00 and 90.00 degrees. The distinct sites, in fractional coordinates, are Zr at (0.0000, 0.0000, 0.2309), Re at (0.0000, 0.5000, 0.5000) and Sb at (0.0000, 0.5000, 0.0000).

For the formation energy without anion corrections, the calculation gives -0.311 eV per atom. The value obtained for the total energy is -42.75 eV/atom.

***

This record from Alexandria via LeMat-Bulk describes a crystal of ZrReSb2 relaxed with PBEsol. The functional is SCAN.

The space group is I-42d (No. 122) and the conventional cell measures 4.2168, 4.2168 and 19.4275 Å, with angles of 90.00, 90.00 and 90.00 degrees. The distinct sites, in fractional coordinates, are Zr at (0.0000, 0.0000, 0.0000), Re at (0.0000, 0.0000, 0.5000) and Sb at (0.2347, 0.2500, 0.6250).

For the formation energy without anion corrections, the calculation gives 0.411 eV per atom. Its energy relative to the lowest polymorph listed for this composition is 2.17 eV/f.u. The value obtained for the total energy is -43.67 eV/atom.

***

This record from Alexandria via LeMat-Bulk describes a crystal of ZrReSb relaxed with PBEsol. The functional is SCAN.

The space group is F-43m (No. 216) and the conventional cell measures 6.3464, 6.3464 and 6.3464 Å, with angles of 90.00, 90.00 and 90.00 degrees. The distinct sites, in fractional coordinates, are Zr at (0.0000, 0.0000, 0.0000), Re at (0.0000, 0.0000, 0.5000) and Sb at (0.2500, 0.2500, 0.7500).

For the formation energy without anion corrections, the calculation gives 0.464 eV per atom. The value obtained for the total energy is -45.89 eV/atom.

***

This record from Alexandria via LeMat-Bulk describes a crystal of ZrReSb2 relaxed with PBEsol. The functional is SCAN.

The space group is Imm2 (No. 44) and the conventional cell measures 3.2794, 4.2166 and 11.9614 Å, with angles of 90.00, 90.00 and 90.00 degrees. The distinct sites, in fractional coordinates, are Zr at (0.0000, 0.0000, 0.0000), Re at (0.0000, 0.5000, 0.7230), Sb at (0.0000, 0.0000, 0.4022) and Sb at (0.0000, 0.5000, 0.1672).

For the formation energy without anion corrections, the calculation gives -0.064 eV per atom. Its energy relative to the lowest polymorph listed for this composition is 0.27 eV/f.u. The value obtained for the total energy is -44.14 eV/atom.

***

This record from Alexandria via LeMat-Bulk describes a crystal of Sc3Re relaxed with PBEsol. The functional is SCAN.

The space group is P4/mmm (No. 123) and the conventional cell measures 3.2367, 3.2367 and 7.8175 Å, with angles of 90.00, 90.00 and 90.00 degrees. The distinct sites, in fractional coordinates, are Sc at (0.0000, 0.0000, 0.0000), Sc at (0.5000, 0.5000, 0.3048) and Re at (0.0000, 0.0000, 0.5000).

The value obtained for the total energy is -28.47 eV/atom. As for the energy of formation: -0.022 eV/atom.

***

This record from Alexandria via LeMat-Bulk describes a crystal of Sc2Re relaxed with PBEsol. The functional is SCAN.

The space group is C2/m (No. 12) and the conventional cell measures 10.6689, 3.1951 and 7.3481 Å, with angles of 90.00, 112.21 and 90.00 degrees. The distinct sites, in fractional coordinates, are Sc at (0.0066, 0.0000, 0.2108), Sc at (0.1809, 0.5000, 0.6324) and Re at (0.1753, 0.5000, 0.0621).

The value obtained for the total energy is -33.32 eV/atom. As for the energy of formation: -0.127 eV/atom.

***

This record from Alexandria via LeMat-Bulk describes a crystal of Sc2Re relaxed with PBEsol. The functional is SCAN.

The space group is Immm (No. 71) and the conventional cell measures 2.8153, 4.7196 and 8.0689 Å, with angles of 90.00, 90.00 and 90.00 degrees. The distinct sites, in fractional coordinates, are Sc at (0.0000, 0.0000, 0.1657) and Re at (0.0000, 0.0000, 0.5000).

The value obtained for the total energy is -33.14 eV/atom. As for the energy of formation: 0.051 eV/atom.

***

This record from Alexandria via LeMat-Bulk describes a crystal of Sc3Re relaxed with PBEsol. The functional is SCAN.

The space group is Pmmm (No. 47) and the conventional cell measures 2.8511, 4.5699 and 5.8333 Å, with angles of 90.00, 90.00 and 90.00 degrees. The distinct sites, in fractional coordinates, are Sc at (0.0000, 0.0000, 0.0000), Sc at (0.5000, 0.5000, 0.2723) and Re at (0.0000, 0.0000, 0.5000).

The value obtained for the total energy is -28.32 eV/atom. As for the energy of formation: 0.137 eV/atom.

***

This record from Alexandria via LeMat-Bulk describes a crystal of Sc5Re24 relaxed with PBEsol. The functional is SCAN.

The space group is I-43m (No. 217) and the conventional cell measures 9.6479, 9.6479 and 9.6479 Å, with angles of 90.00, 90.00 and 90.00 degrees. The distinct sites, in fractional coordinates, are Sc at (0.0000, 0.0000, 0.0000), Sc at (0.1833, 0.1833, 0.1833), Re at (0.0384, 0.3604, 0.6396) and Re at (0.0928, 0.0928, 0.7150).

The value obtained for the total energy is -61.60 eV/atom. As for the energy of formation: -0.305 eV/atom.

***

This record from Alexandria via LeMat-Bulk describes a crystal of Sc5Re relaxed with PBEsol. The functional is SCAN.

The space group is C2/m (No. 12) and the conventional cell measures 11.0832, 3.3487 and 7.4416 Å, with angles of 90.00, 111.23 and 90.00 degrees. The distinct sites, in fractional coordinates, are Sc at (0.0000, 0.0000, 0.0000), Sc at (0.1386, 0.5000, 0.3612), Sc at (0.1597, 0.5000, 0.7865) and Re at (0.0000, 0.0000, 0.5000).

Its energy relative to the lowest polymorph listed for this composition is 0.00 eV/f.u. The value obtained for the total energy is -23.77 eV/atom. As for the energy of formation: -0.058 eV/atom.

***

This record from Alexandria via LeMat-Bulk describes a crystal of ScRe relaxed with PBEsol. The functional is SCAN.

The space group is Fm-3m (No. 225) and the conventional cell measures 5.3337, 5.3337 and 5.3337 Å, with angles of 90.00, 90.00 and 90.00 degrees. The distinct sites, in fractional coordinates, are Sc at (0.0000, 0.0000, 0.0000) and Re at (0.0000, 0.0000, 0.5000).

The value obtained for the total energy is -41.49 eV/atom. As for the energy of formation: 1.180 eV/atom.

***

no.,magnetic moment (μB per atom)
1,0.000
2,0.000
3,0.000
4,0.000
5,0.000
6,0.000
7,0.000
8,0.000
9,0.000
10,0.000
11,0.000
12,0.412
13,0.000
14,0.151
15,0.000
16,0.000
17,0.000
18,0.000
19,0.000
20,0.000